Material: Tb2UPd9
Method: DFT, PBE
State: relaxed

N(E_F): 0.7949 states/eV/atom

a b c (Å): 4.1305 4.1305 12.3809
angles (deg): 90.00 90.00 90.00
With the nearest neighbours (Å) after each atom.
Fractional coordinates of all 12 atoms:
Tb 0.0000 0.0000 0.1629  12 Pd 2.89-3.00
Tb 0.0000 0.0000 0.8371  12 Pd 2.89-3.00
U 0.0000 0.0000 0.5000  12 Pd 2.88-2.92
Pd 0.0000 0.5000 0.0000  4 Tb 2.89, 8 Pd 2.92-2.93
Pd 0.0000 0.5000 0.3384  2 U 2.88, 8 Pd 2.88-2.95, 2 Tb 3.00
Pd 0.0000 0.5000 0.6616  2 U 2.88, 8 Pd 2.88-2.95, 2 Tb 3.00
Pd 0.5000 0.0000 0.0000  4 Tb 2.89, 8 Pd 2.92-2.93
Pd 0.5000 0.0000 0.3384  2 U 2.88, 8 Pd 2.88-2.95, 2 Tb 3.00
Pd 0.5000 0.0000 0.6616  2 U 2.88, 8 Pd 2.88-2.95, 2 Tb 3.00
Pd 0.5000 0.5000 0.1683  4 Tb 2.92, 8 Pd 2.93-2.95
Pd 0.5000 0.5000 0.5000  8 Pd 2.88, 4 U 2.92
Pd 0.5000 0.5000 0.8317  4 Tb 2.92, 8 Pd 2.93-2.95



Material: TbUPd4
Method: DFT, PBE
State: relaxed

N(E_F): 1.6099 states/eV/atom

a b c (Å): 5.4437 5.4437 5.4437
angles (deg): 60.00 60.00 60.00
With the nearest neighbours (Å) after each atom.
Fractional coordinates of all 6 atoms:
Tb 0.0000 0.0000 0.0000  12 Pd 3.19, 4 U 3.33
U 0.2500 0.2500 0.2500  12 Pd 3.19, 4 Tb 3.33
Pd 0.1252 0.6249 0.6249  6 Pd 2.72
Pd 0.6249 0.1252 0.6249  6 Pd 2.72
Pd 0.6249 0.6249 0.1252  6 Pd 2.72
Pd 0.6249 0.6249 0.6249  6 Pd 2.72



Computed values of M_tot (unit: μB/cell) for the preceding records, in sequence: 1.50; 3.08.
Computed values of DFT total energy (unit: eV per atom) for the preceding records, in sequence: -6.40; -6.63.
Computed values of formation energy (unit: eV/f.u.) for the preceding records, in sequence: -9.5; -3.1.